1.
The following is a PBE calculation of a relaxed structure of MnAl2Hg, from the Alexandria database.

Lattice parameters (Å, degrees): 4.096 4.096 3.863 90.00 90.00 90.00
Last column: magnetic moment on the atom in μB.
Atoms (fractional coordinates):
1 Mn 0.000 0.500 0.500  2.95
2 Hg 0.500 0.000 0.500  -0.03
3 Al 0.000 0.000 0.000  -0.04
4 Al 0.500 0.500 0.000  -0.04

density: 7.9 g/cm3
ΔE_f: 0.08 eV/atom
crystal system: tetragonal
VASP energy: -4.157 eV/atom
calculated volume: 16.2 Å³/atom
DOS(E_F): 1.637 states/eV/f.u.


2.
The following is a PBE calculation of a relaxed structure of MnAlHg2, from the Alexandria database.

Lattice parameters (Å, degrees): 5.084 5.084 5.084 129.63 129.63 73.99
Last column: magnetic moment on the atom in μB.
Atoms (fractional coordinates):
1 Mn 0.250 0.750 0.500  3.75
2 Hg 0.000 0.000 0.000  -0.02
3 Hg 0.500 0.500 0.000  -0.02
4 Al 0.750 0.250 0.500  -0.03

density: 10.6 g/cm3
ΔE_f: 0.26 eV/atom
crystal system: tetragonal
VASP energy: -3.117 eV/atom
calculated volume: 19.0 Å³/atom
DOS(E_F): 2.111 states/eV/f.u.


3.
The following is a PBE calculation of a relaxed structure of MnAlHg2, from the Alexandria database.

Lattice parameters (Å, degrees): 5.353 5.353 5.353 134.65 134.65 66.08
Last column: magnetic moment on the atom in μB.
Atoms (fractional coordinates):
1 Mn 0.500 0.500 0.000  3.70
2 Hg 0.000 0.000 0.000  -0.06
3 Hg 0.250 0.750 0.500  -0.03
4 Al 0.750 0.250 0.500  -0.04

density: 10.5 g/cm3
ΔE_f: 0.29 eV/atom
crystal system: tetragonal
VASP energy: -3.088 eV/atom
calculated volume: 19.1 Å³/atom
DOS(E_F): 2.660 states/eV/f.u.


4.
The following is a PBE calculation of a relaxed structure of MnAl2Hg, from the Alexandria database.

Lattice parameters (Å, degrees): 4.577 2.999 4.818 90.01 90.00 90.00
Last column: magnetic moment on the atom in μB.
Atoms (fractional coordinates):
1 Mn 0.500 0.875 0.747  2.82
2 Hg 0.000 0.375 0.532  -0.05
3 Al 0.000 0.875 0.025  -0.04
4 Al 0.500 0.375 0.196  -0.05

density: 7.8 g/cm3
ΔE_f: 0.12 eV/atom
crystal system: orthorhombic
VASP energy: -4.117 eV/atom
calculated volume: 16.5 Å³/atom
DOS(E_F): 2.171 states/eV/f.u.


5.
The following is a PBE calculation of a relaxed structure of Mn2AlHg2, from the Alexandria database.

Lattice parameters (Å, degrees): 6.649 6.649 4.107 90.00 90.00 90.00
Last column: magnetic moment on the atom in μB.
Atoms (fractional coordinates):
1 Mn 0.355 0.855 0.000  3.25
2 Mn 0.855 0.645 0.000  3.24
3 Mn 0.645 0.145 0.000  3.25
4 Mn 0.145 0.355 0.000  3.24
5 Hg 0.160 0.660 0.500  -0.05
6 Hg 0.660 0.840 0.500  -0.05
7 Hg 0.840 0.340 0.500  -0.05
8 Hg 0.340 0.160 0.500  -0.06
9 Al 0.000 0.000 0.000  -0.09
10 Al 0.500 0.500 0.000  -0.09

density: 9.8 g/cm3
ΔE_f: 0.32 eV/atom
crystal system: tetragonal
VASP energy: -4.221 eV/atom
calculated volume: 18.2 Å³/atom
DOS(E_F): 3.936 states/eV/f.u.


6.
The following is a PBE calculation of a relaxed structure of Mn4AlHg, from the Alexandria database.

Lattice parameters (Å, degrees): 4.860 4.860 4.860 60.00 60.00 60.00
Last column: magnetic moment on the atom in μB.
Atoms (fractional coordinates):
1 Mn 0.624 0.624 0.129  1.38
2 Mn 0.624 0.129 0.624  1.38
3 Mn 0.624 0.624 0.624  1.38
4 Mn 0.129 0.624 0.624  1.38
5 Al 0.250 0.250 0.250  -0.06
6 Hg 0.000 0.000 0.000  -0.02

density: 9.2 g/cm3
ΔE_f: 0.32 eV/atom
crystal system: cubic
VASP energy: -6.463 eV/atom
calculated volume: 13.5 Å³/atom
DOS(E_F): 8.265 states/eV/f.u.


7.
The following is a PBE calculation of a relaxed structure of MnAlHg2, from the Alexandria database.

Lattice parameters (Å, degrees): 4.863 4.863 5.160 79.25 79.25 40.94
Last column: magnetic moment on the atom in μB.
Atoms (fractional coordinates):
1 Mn 0.750 0.750 0.750  3.81
2 Hg 0.001 0.001 0.996  -0.02
3 Hg 0.499 0.499 0.504  -0.02
4 Al 0.250 0.250 0.250  -0.03

density: 10.2 g/cm3
ΔE_f: 0.25 eV/atom
crystal system: monoclinic
VASP energy: -3.130 eV/atom
calculated volume: 19.6 Å³/atom
DOS(E_F): 1.561 states/eV/f.u.


8.
The following is a PBE calculation of a relaxed structure of MnAl2Hg, from the Alexandria database.

Lattice parameters (Å, degrees): 3.453 3.453 5.561 90.00 90.00 90.00
Last column: magnetic moment on the atom in μB.
Atoms (fractional coordinates):
1 Mn 0.500 0.500 0.783  2.81
2 Hg 0.000 0.000 0.495  -0.06
3 Al 0.000 0.000 0.977  -0.06
4 Al 0.500 0.500 0.244  -0.04

density: 7.8 g/cm3
ΔE_f: 0.11 eV/atom
crystal system: tetragonal
VASP energy: -4.128 eV/atom
calculated volume: 16.6 Å³/atom
DOS(E_F): 2.720 states/eV/f.u.